Density functional theory data (PBE) for an optimized crystal structure of Pm4Er2TmSc.

E_tot ... -38.70 eV for the cell shown
Energy of formation ... 0.03 eV per atom

Cell lengths 5.0715, 5.0612, 11.0363 Å; angles 62.71, 90.00, 90.00 degrees
Positions (direct):
1 Er 0.5000 0.0000 0.5000
2 Er 0.0000 0.0000 0.0000
3 Pm 0.0001 0.7547 0.7455
4 Pm 0.5000 0.7458 0.2542
5 Pm 0.5000 0.2542 0.7458
6 Pm 0.9999 0.2453 0.2545
7 Sc 0.0000 0.5000 0.5000
8 Tm 0.5000 0.5000 0.0000